1.
A plane-wave DFT calculation with PBE-GGA was carried out for crystalline CaPr3Nd2S6 at its relaxed geometry.

Structure (POSCAR):
```
CaPr3Nd2S6
1.0
3.5307 -6.1189 0.0000
3.5307 6.1189 0.0000
-2.3413 0.0000 6.6707
Ca Pr Nd S
1 3 2 6
Direct
0.0000 0.0000 0.0000
0.1673 0.8327 0.5000
0.5000 0.5000 0.5000
0.8327 0.1673 0.5000
0.3333 0.6667 0.0000
0.6667 0.3333 0.0000
0.0810 0.4086 0.2438
0.2461 0.2461 0.7571
0.4086 0.0810 0.2438
0.5914 0.9190 0.7562
0.7539 0.7539 0.2429
0.9190 0.5914 0.7562
```

Calculated volume (Å³ per atom): 24.0
Raw formation energy (eV per atom): -2.033
Symmetry: C2/m, No. 12
Crystal system: monoclinic

---

2.
A plane-wave DFT calculation with PBE-GGA was carried out for crystalline CaPrNd2S4 at its relaxed geometry.

Structure (POSCAR):
```
CaPrNd2S4
1.0
-4.0562 4.0843 5.7538
4.0562 -4.0843 5.7538
4.0562 4.0843 -5.7538
Ca Pr Nd S
2 2 4 8
Direct
0.5000 0.0000 0.0000
0.5000 0.5000 0.5000
0.0000 0.0000 0.0000
0.5000 0.0000 0.5000
0.0000 0.0000 0.5000
0.0000 0.5000 0.0000
0.0000 0.5000 0.5000
0.5000 0.5000 0.0000
0.2534 0.2555 0.5021
0.2534 0.7513 0.9979
0.2544 0.7490 0.5054
0.2565 0.2510 0.0054
0.7435 0.7490 0.9946
0.7456 0.2510 0.4946
0.7466 0.2487 0.0021
0.7466 0.7445 0.4979
```

Calculated volume (Å³ per atom): 23.8
Raw formation energy (eV per atom): -2.034
Symmetry: Imma, No. 74
Crystal system: orthorhombic

---

3.
A plane-wave DFT calculation with PBE-GGA was carried out for crystalline CaPrNd2Sb4 at its relaxed geometry.

Structure (POSCAR):
```
CaPrNd2Sb4
1.0
0.0000 4.5382 6.4229
4.5326 0.0000 6.4229
4.5326 4.5382 0.0000
Ca Pr Nd Sb
1 1 2 4
Direct
0.0000 0.0000 0.0000
0.5000 0.5000 0.5000
0.2500 0.2500 0.2500
0.7500 0.7500 0.7500
0.0000 0.0000 0.5000
0.2516 0.2516 0.7484
0.5000 0.5000 0.0000
0.7484 0.7484 0.2516
```

Calculated volume (Å³ per atom): 33.0
Raw formation energy (eV per atom): -1.067
Symmetry: Fmmm, No. 69
Crystal system: orthorhombic